1.
5
Lattice="-0.178 3.109 -2.921 -4.039 -1.064 -0.886 -1.524 3.026 3.314" Properties=species:S:1:pos:R:3 comment="PBE-GGA AlAs2CSe, optimized geometry" sg="No. 123" magnetic_moment_mub_per_cell=0.0 formation_energy_uncorrected_mev_per_atom=989 polymorph_energy_ev_per_atom=0.000 e_tot_ev_per_atom=-4.161 pbc="T T T"
Al -2.871 2.536 -0.246
Se -0.762 1.513 1.657
C 0.000 0.000 0.000
As -2.020 -0.532 -0.443
As -0.089 1.555 -1.461

---

2.
18
Lattice="6.302 -1.506 -1.068 1.803 6.224 -1.068 1.803 1.049 6.227" Properties=species:S:1:pos:R:3 comment="PBE-GGA Y2Ga3Cu12Ag, optimized geometry" sg="No. 166" magnetic_moment_mub_per_cell=0.0 ef_ev_per_atom=0.019 e_tot_ev_per_atom=-4.093 pbc="T T T"
Cu 4.926 5.193 1.219
Cu 4.926 2.867 4.498
Cu 2.902 4.329 0.273
Cu 4.981 0.573 2.871
Cu 7.005 1.437 3.817
Cu 2.902 1.689 3.996
Cu 7.005 4.078 0.095
Cu 4.709 5.382 3.817
Cu 5.198 0.385 0.273
Cu 6.948 1.718 1.219
Cu 4.981 2.900 -0.408
Cu 2.959 4.048 2.871
Ag 0.000 0.000 0.000
Y 2.903 1.690 1.199
Y 7.004 4.077 2.892
Ga 3.151 -0.753 -0.534
Ga 0.901 0.525 3.113
Ga 0.901 3.112 -0.534

---

3.
13
Lattice="6.651 0.000 3.840 2.217 6.271 3.840 0.000 0.000 7.680" Properties=species:S:1:pos:R:3 comment="PBE-GGA HgPd4Se8, optimized geometry" sg="No. 216" magnetic_moment_mub_per_cell=0.0 formation_energy_uncorrected_mev_per_atom=-225 e_tot_ev_per_atom=-3.990 pbc="T T T"
Pd 3.293 2.328 9.657
Pd 4.434 5.557 7.680
Pd 3.293 2.328 5.703
Pd 6.717 2.328 7.680
Se 5.384 3.807 9.325
Se 1.230 0.870 5.550
Se 4.434 1.121 7.680
Se 1.230 0.870 2.131
Se 4.191 0.870 3.840
Se 5.384 3.807 6.035
Se 2.217 3.661 3.840
Se 2.535 3.807 7.680
Hg 6.651 4.703 11.520

---

4.
12
Lattice="6.959 -0.563 -0.015 -3.966 5.746 -0.015 -1.008 -1.746 4.677" Properties=species:S:1:pos:R:3 comment="PBE-GGA Rb2Li3IrO6, optimized geometry" sg="No. 12" magnetic_moment_mub_per_cell=2.0 formation_energy_uncorrected_mev_per_atom=-1305 e_tot_ev_per_atom=-5.162 pbc="T T T"
O 0.491 3.566 3.404
O 2.152 3.726 0.921
O -0.858 1.230 1.243
O 2.843 2.208 3.404
O 1.494 -0.128 1.243
O -0.167 -0.288 3.726
Li 5.431 -0.845 2.324
Li -3.446 4.282 2.324
Li 0.993 1.719 2.324
Ir 0.000 0.000 0.000
Rb 3.475 1.449 -0.015
Rb -0.481 3.734 -0.015